A geometry-optimized BaSi4Pt structure. Source: Alexandria, functional PBE.

Properties
The uncorrected formation energy is -40 kJ/mol of atoms. The total energy comes out at -5.354 eV/atom. The magnetization comes out at 0.000 μB per atom.

Cell and atoms, written as CIF:
```
data_BaSi4Pt
_chemical_formula_sum 'Ba4 Si16 Pt4'
_cell_length_a 10.634
_cell_length_b 6.104
_cell_length_c 8.673
_cell_angle_alpha 90.00
_cell_angle_beta 119.10
_cell_angle_gamma 90.00
_symmetry_space_group_name_H-M 'C 1 2/m 1'
_symmetry_Int_Tables_number 12
_symmetry_space_group_name_Hall '-C 2y'
loop_
_atom_site_label
_atom_site_type_symbol
_atom_site_fract_x
_atom_site_fract_y
_atom_site_fract_z
_atom_site_occupancy
Ba1 Ba 0.181 0.000 0.278 1
Si1 Si 0.000 0.241 0.500 1
Si2 Si 0.138 0.207 0.873 1
Si3 Si 0.220 0.000 0.689 1
Pt1 Pt 0.031 0.500 0.298 1
```


A geometry-optimized Ba2SiPt structure. Source: Alexandria, functional PBE.

Properties
The uncorrected formation energy is -28 kJ/mol of atoms. The total energy comes out at -4.112 eV/atom. The magnetization comes out at 0.000 μB per atom.

Cell and atoms, written as CIF:
```
data_Ba2SiPt
_chemical_formula_sum 'Ba4 Si2 Pt2'
_cell_length_a 7.628
_cell_length_b 8.274
_cell_length_c 3.867
_cell_angle_alpha 90.00
_cell_angle_beta 90.00
_cell_angle_gamma 90.00
_symmetry_space_group_name_H-M 'C m m m'
_symmetry_Int_Tables_number 65
_symmetry_space_group_name_Hall '-C 2 2'
loop_
_atom_site_label
_atom_site_type_symbol
_atom_site_fract_x
_atom_site_fract_y
_atom_site_fract_z
_atom_site_occupancy
Ba1 Ba 0.250 0.250 0.000 1
Si1 Si 0.000 0.000 0.500 1
Pt1 Pt 0.000 0.500 0.500 1
```